1.
The following is a PBE calculation of an optimized crystal structure of Dy2AlGe4Pd3, from the Alexandria database.

M_tot   0.000 μB/f.u.
Calculated density   8.61 g cm⁻³
Calculated formation energy   -0.74 eV per atom
Crystal system   tetragonal
D(E_F)   0.33 states/eV/atom

abc: 4.031 4.031 11.415
angles: 90.00 90.00 90.00
Space group P-4m2 (No. 115)
Unique sites:
Dy 0.000 0.500 0.245
Al 0.500 0.500 0.000
Ge 0.000 0.000 0.500
Ge 0.000 0.500 0.857
Ge 0.500 0.500 0.500
Pd 0.000 0.000 0.000
Pd 0.000 0.500 0.642


2.
The following is a PBE calculation of an optimized crystal structure of PmDyAlGe, from the Alexandria database.

M_tot   0.000 μB/f.u.
Excess energy over the best structure of this formula in the dataset   234.6 meV/atom
Calculated density   6.98 g cm⁻³
Calculated formation energy   -0.45 eV per atom
Crystal system   cubic
D(E_F)   0.62 states/eV/atom

abc: 7.290 7.290 7.290
angles: 90.00 90.00 90.00
Space group F-43m (No. 216)
Unique sites:
Pm 0.000 0.000 0.000
Dy 0.000 0.000 0.500
Al 0.250 0.250 0.250
Ge 0.250 0.250 0.750